Model one:
First-principles (GGA-PBE) data for a relaxed PmEr12Tm7 crystal, as listed in the Alexandria database.

Geometry as POSCAR:
```
PmEr12Tm7
1.0
5.929 3.423 5.228
-5.929 3.423 5.228
0.000 -6.846 5.228
Pm Er Tm
1 12 7
direct
0.000 0.000 0.000
0.105 0.346 0.432
0.233 0.761 0.353
0.239 0.647 0.767
0.346 0.432 0.105
0.353 0.233 0.761
0.432 0.105 0.346
0.568 0.895 0.654
0.647 0.767 0.239
0.654 0.568 0.895
0.761 0.353 0.233
0.767 0.239 0.647
0.895 0.654 0.568
0.002 0.368 0.879
0.121 0.998 0.632
0.368 0.879 0.002
0.500 0.500 0.500
0.632 0.121 0.998
0.879 0.002 0.368
0.998 0.632 0.121
```

=====

Model two:
First-principles (GGA-PBE) data for a relaxed PmEr12Tm7 crystal, as listed in the Alexandria database.

Geometry as POSCAR:
```
PmEr12Tm7
1.0
9.203 5.313 2.204
-9.203 5.313 2.204
0.000 -10.626 2.204
Pm Er Tm
1 12 7
direct
0.000 0.000 0.000
0.005 0.578 0.793
0.207 0.995 0.422
0.237 0.299 0.755
0.245 0.763 0.701
0.299 0.755 0.237
0.422 0.207 0.995
0.578 0.793 0.005
0.701 0.245 0.763
0.755 0.237 0.299
0.763 0.701 0.245
0.793 0.005 0.578
0.995 0.422 0.207
0.134 0.305 0.440
0.305 0.440 0.134
0.440 0.134 0.305
0.500 0.500 0.500
0.560 0.866 0.695
0.695 0.560 0.866
0.866 0.695 0.560
```

=====

Most stable to least stable: model one, model two

=====

Model one:
First-principles (GGA-PBE) data for a relaxed Pm2Er3Tm2 crystal, as listed in the Alexandria database.

Geometry as POSCAR:
```
Pm2Er3Tm2
1.0
-4.838 4.838 4.838
4.838 -4.838 4.838
4.838 4.838 -4.838
Pm Er Tm
4 6 4
direct
0.000 0.810 0.500
0.500 0.000 0.810
0.690 0.690 0.690
0.810 0.500 0.000
0.191 0.750 0.941
0.250 0.559 0.309
0.309 0.250 0.559
0.559 0.309 0.250
0.750 0.941 0.191
0.941 0.191 0.750
0.000 0.409 0.500
0.091 0.091 0.091
0.409 0.500 0.000
0.500 0.000 0.409
```

=====

Model two:
First-principles (GGA-PBE) data for a relaxed Pm2Er3Tm2 crystal, as listed in the Alexandria database.

Geometry as POSCAR:
```
Pm2Er3Tm2
1.0
11.171 0.000 0.000
0.000 5.012 0.000
-1.129 0.000 7.846
Pm Er Tm
4 6 4
direct
0.072 0.000 0.216
0.428 0.500 0.784
0.572 0.500 0.216
0.928 0.000 0.784
0.000 0.500 0.500
0.143 0.500 0.928
0.357 0.000 0.072
0.500 0.000 0.500
0.643 0.000 0.928
0.857 0.500 0.072
0.214 0.000 0.643
0.286 0.500 0.357
0.714 0.500 0.643
0.786 0.000 0.357
```

=====

Most stable to least stable: model two, model one

=====

Model one:
First-principles (GGA-PBE) data for a relaxed PmEr2Tm2 crystal, as listed in the Alexandria database.

Geometry as POSCAR:
```
PmEr2Tm2
1.0
9.327 0.000 0.000
0.000 9.327 0.000
0.000 0.000 3.652
Pm Er Tm
2 4 4
direct
0.000 0.000 0.000
0.500 0.500 0.000
0.173 0.327 0.500
0.327 0.827 0.500
0.673 0.173 0.500
0.827 0.673 0.500
0.124 0.624 0.000
0.376 0.124 0.000
0.624 0.876 0.000
0.876 0.376 0.000
```

=====

Model two:
First-principles (GGA-PBE) data for a relaxed PmEr2Tm2 crystal, as listed in the Alexandria database.

Geometry as POSCAR:
```
PmEr2Tm2
1.0
3.481 0.000 0.000
0.000 5.654 0.000
0.000 0.000 16.226
Pm Er Tm
2 4 4
direct
0.000 0.000 0.000
0.000 0.500 0.500
0.000 0.000 0.381
0.000 0.500 0.881
0.500 0.000 0.573
0.500 0.500 0.073
0.000 0.000 0.762
0.000 0.500 0.262
0.500 0.000 0.192
0.500 0.500 0.692
```

=====

Most stable to least stable: model one, model two

=====

Model one:
First-principles (GGA-PBE) data for a relaxed Pm6Er3Tm2 crystal, as listed in the Alexandria database.

Geometry as POSCAR:
```
Pm6Er3Tm2
1.0
-2.374 2.374 16.728
2.374 -2.374 16.728
2.374 2.374 -16.728
Pm Er Tm
6 3 2
direct
0.120 0.620 0.500
0.201 0.201 0.000
0.380 0.880 0.500
0.620 0.120 0.500
0.799 0.799 0.000
0.880 0.380 0.500
0.303 0.303 0.000
0.500 0.500 0.000
0.697 0.697 0.000
0.045 0.045 0.000
0.955 0.955 0.000
```

=====

Model two:
First-principles (GGA-PBE) data for a relaxed Pm6Er3Tm2 crystal, as listed in the Alexandria database.

Geometry as POSCAR:
```
Pm6Er3Tm2
1.0
1.793 1.035 31.952
-1.793 1.035 31.952
0.000 -2.070 31.952
Pm Er Tm
6 3 2
direct
0.091 0.091 0.091
0.182 0.182 0.182
0.364 0.364 0.364
0.636 0.636 0.636
0.818 0.818 0.818
0.909 0.909 0.909
0.000 0.000 0.000
0.273 0.273 0.273
0.727 0.727 0.727
0.454 0.454 0.454
0.546 0.546 0.546
```

=====

Most stable to least stable: model two, model one